{"formula": "V8GaGeS16", "functional": "SCAN", "state": "PBEsol geometry", "lattice_angstrom": [[-1.597, 6.360, -1.443], [-6.323, -1.874, -1.263], [-2.264, 1.498, 9.108]], "species": ["V", "V", "V", "V", "V", "V", "V", "V", "Ga", "Ge", "S", "S", "S", "S", "S", "S", "S", "S", "S", "S", "S", "S", "S", "S", "S", "S"], "frac_coords": [[0.000, 0.795, 0.604], [0.500, 0.293, 0.102], [0.795, 0.000, 0.396], [0.293, 0.500, 0.898], [0.205, 0.000, 0.396], [0.707, 0.500, 0.898], [0.000, 0.205, 0.604], [0.500, 0.707, 0.102], [0.000, 0.000, 0.000], [0.500, 0.500, 0.500], [0.000, 0.262, 0.369], [0.500, 0.762, 0.869], [0.262, 0.000, 0.631], [0.762, 0.500, 0.131], [0.738, 0.000, 0.631], [0.238, 0.500, 0.131], [0.000, 0.738, 0.369], [0.500, 0.238, 0.869], [0.000, 0.276, 0.862], [0.500, 0.773, 0.363], [0.773, 0.500, 0.637], [0.276, 0.000, 0.138], [0.227, 0.500, 0.637], [0.724, 0.000, 0.138], [0.000, 0.724, 0.862], [0.500, 0.227, 0.363]], "density_g_cm3": 4.12, "dos_ef_per_ev_cell": 5.59, "space_group": "P-4m2", "raw_formation_energy_ev_per_atom": -1.0397}